# 1
# GGA-PBEsol KIn2Br, optimized geometry
data_KIn2Br
_chemical_formula_sum 'K1 In2 Br1'
_space_group_name_H-M_alt 'P 4/m m m'
_space_group_IT_number 123
_space_group_name_Hall '-P 4 2'
_cell_length_a 4.358
_cell_length_b 4.358
_cell_length_c 6.743
_cell_angle_alpha 90.00
_cell_angle_beta 90.00
_cell_angle_gamma 90.00
loop_
_atom_site_label
_atom_site_fract_x
_atom_site_fract_y
_atom_site_fract_z
K1 0.000 0.000 0.000
In1 0.000 0.500 0.500
Br1 0.500 0.500 0.000
# Raw formation energy in eV/atom: -0.504
# Polymorph energy (0 for the lowest one) in kJ/mol of formula units: 0.9

# 2
# GGA-PBEsol KInBr, optimized geometry
data_KInBr
_chemical_formula_sum 'K1 In1 Br1'
_space_group_name_H-M_alt 'P 3 m 1'
_space_group_IT_number 156
_cell_length_a 3.9425
_cell_length_b 3.9425
_cell_length_c 7.2792
_cell_angle_alpha 90.00
_cell_angle_beta 90.00
_cell_angle_gamma 120.00
loop_
_space_group_symop_operation_xyz
'x,y,z'
'-y,x-y,z'
'-x+y,-x,z'
'-y,-x,z'
'-x+y,y,z'
'x,x-y,z'
loop_
_atom_site_label
_atom_site_fract_x
_atom_site_fract_y
_atom_site_fract_z
K1 0.0000 0.0000 0.0000
In1 0.6667 0.3333 0.3919
Br1 0.3333 0.6667 0.7094
# Raw formation energy in eV/atom: -0.576

# 3
# GGA-PBEsol K3InBr6, optimized geometry
data_K3InBr6
_chemical_formula_sum 'K12 In4 Br24'
_space_group_name_H-M_alt 'F m -3 m'
_space_group_IT_number 225
_space_group_name_Hall '-F 4 2 3'
_cell_length_a 11.359
_cell_length_b 11.359
_cell_length_c 11.359
_cell_angle_alpha 90.00
_cell_angle_beta 90.00
_cell_angle_gamma 90.00
loop_
_atom_site_label
_atom_site_fract_x
_atom_site_fract_y
_atom_site_fract_z
K1 0.000 0.000 0.000
K2 0.250 0.250 0.250
In1 0.000 0.000 0.500
Br1 0.000 0.000 0.266
# Raw formation energy in eV/atom: -1.300

no.,N(E_F) (states/eV/f.u.)
1,1.60
2,1.31
3,0.00